--- a ---
First-principles (PBE) data for BeAsPdAu after structural relaxation, as listed in the Open Quantum Materials Database.

The space group is F-43m (No. 216) and the conventional cell measures 6.231, 6.231 and 6.231 Å, with angles of 90.00, 90.00 and 90.00 degrees. The inequivalent atoms are Be at (0.000, 0.000, 0.000), As at (0.000, 0.000, 0.500), Pd at (0.250, 0.250, 0.750) and Au at (0.250, 0.250, 0.250).

***

--- b ---
First-principles (PBE) data for BeAsPdAu after structural relaxation, as listed in the Open Quantum Materials Database.

The space group is F-43m (No. 216) and the conventional cell measures 6.291, 6.291 and 6.291 Å, with angles of 90.00, 90.00 and 90.00 degrees. The inequivalent atoms are Be at (0.000, 0.000, 0.000), As at (0.250, 0.250, 0.250), Pd at (0.000, 0.000, 0.500) and Au at (0.250, 0.250, 0.750).

***

Which structure loses on stability? b does.

***

--- a ---
First-principles (PBE) data for ReBiAsAu after structural relaxation, as listed in the Open Quantum Materials Database.

The space group is F-43m (No. 216) and the conventional cell measures 6.805, 6.805 and 6.805 Å, with angles of 90.00, 90.00 and 90.00 degrees. The inequivalent atoms are Re at (0.000, 0.000, 0.000), Bi at (0.000, 0.000, 0.500), As at (0.250, 0.250, 0.250) and Au at (0.250, 0.250, 0.750).

***

--- b ---
First-principles (PBE) data for ReBiAsAu after structural relaxation, as listed in the Open Quantum Materials Database.

The space group is F-43m (No. 216) and the conventional cell measures 6.809, 6.809 and 6.809 Å, with angles of 90.00, 90.00 and 90.00 degrees. The inequivalent atoms are Re at (0.000, 0.000, 0.000), Bi at (0.250, 0.250, 0.250), As at (0.250, 0.250, 0.750) and Au at (0.000, 0.000, 0.500).

***

Which structure loses on stability? a does.

***

--- a ---
First-principles (PBE) data for GaCoAsAu after structural relaxation, as listed in the Open Quantum Materials Database.

The space group is F-43m (No. 216) and the conventional cell measures 6.340, 6.340 and 6.340 Å, with angles of 90.00, 90.00 and 90.00 degrees. The inequivalent atoms are Ga at (0.000, 0.000, 0.000), Co at (0.250, 0.250, 0.750), As at (0.000, 0.000, 0.500) and Au at (0.250, 0.250, 0.250).

***

--- b ---
First-principles (PBE) data for GaCoAsAu after structural relaxation, as listed in the Open Quantum Materials Database.

The space group is F-43m (No. 216) and the conventional cell measures 6.347, 6.347 and 6.347 Å, with angles of 90.00, 90.00 and 90.00 degrees. The inequivalent atoms are Ga at (0.000, 0.000, 0.000), Co at (0.000, 0.000, 0.500), As at (0.250, 0.250, 0.750) and Au at (0.250, 0.250, 0.250).

***

Which structure loses on stability? b does.